Entry 1:
DFT (PBE) results for Na3HgPb6 after structural relaxation. Values from VASP.

Structure (Quantum ESPRESSO input):
```
&SYSTEM
  ibrav = 0, nat = 20, ntyp = 3
/
ATOMIC_SPECIES
Na 22.99 Na.upf
Hg 200.59 Hg.upf
Pb 207.20 Pb.upf
CELL_PARAMETERS angstrom
3.5488 0.0000 0.0000
0.0000 6.7111 0.0000
-0.9035 0.0000 26.4348
ATOMIC_POSITIONS crystal
Na 0.0000 0.0000 0.0000
Na 0.0000 0.5000 0.5000
Na 0.2356 0.0034 0.6999
Na 0.2356 0.4966 0.1999
Na 0.7644 0.5034 0.8001
Na 0.7644 0.9966 0.3001
Hg 0.5000 0.0000 0.5000
Hg 0.5000 0.5000 0.0000
Pb 0.2363 0.5031 0.6893
Pb 0.2363 0.9969 0.1893
Pb 0.2892 0.2487 0.8952
Pb 0.2892 0.2513 0.3952
Pb 0.2938 0.7425 0.3952
Pb 0.2938 0.7575 0.8952
Pb 0.7062 0.2425 0.1048
Pb 0.7062 0.2575 0.6048
Pb 0.7108 0.7487 0.6048
Pb 0.7108 0.7513 0.1048
Pb 0.7637 0.0031 0.8107
Pb 0.7637 0.4969 0.3107
```

Computed properties:
Symmetry: P2_1/c

Entry 2:
DFT (PBE) results for KSiPdF6 after structural relaxation. Values from VASP.

Structure (Quantum ESPRESSO input):
```
&SYSTEM
  ibrav = 0, nat = 9, ntyp = 4
/
ATOMIC_SPECIES
K 39.10 K.upf
Si 28.09 Si.upf
Pd 106.42 Pd.upf
F 19.00 F.upf
CELL_PARAMETERS angstrom
5.7621 0.0000 0.0000
-2.8810 4.9901 0.0000
0.0000 0.0000 5.1425
ATOMIC_POSITIONS crystal
K 0.0000 0.0000 0.0000
Si 0.6667 0.3333 0.5000
Pd 0.3333 0.6667 0.5000
F 0.4221 0.0892 0.6930
F 0.4221 0.3329 0.3070
F 0.6671 0.0892 0.3070
F 0.6671 0.5779 0.6930
F 0.9108 0.3329 0.6930
F 0.9108 0.5779 0.3070
```

Computed properties:
Symmetry: P312
Energy relative to the elements, uncorrected (eV per atom): -2.495

Entry 3:
DFT (PBE) results for U3Hg6I14 after structural relaxation. Values from VASP.

Structure (Quantum ESPRESSO input):
```
&SYSTEM
  ibrav = 0, nat = 23, ntyp = 3
/
ATOMIC_SPECIES
U 238.03 U.upf
Hg 200.59 Hg.upf
I 126.90 I.upf
CELL_PARAMETERS angstrom
11.8152 0.0000 0.0000
-5.9076 10.2323 0.0000
0.0000 0.0000 9.3893
ATOMIC_POSITIONS crystal
U 0.0000 0.0000 0.0000
U 0.3333 0.6667 0.0011
U 0.6667 0.3333 0.3152
Hg 0.1580 0.8169 0.5607
Hg 0.1831 0.3411 0.5607
Hg 0.4700 0.2529 0.0501
Hg 0.6589 0.8420 0.5607
Hg 0.7471 0.2170 0.0501
Hg 0.7830 0.5300 0.0501
I 0.0814 0.5432 0.8643
I 0.0987 0.8624 0.1715
I 0.1376 0.2363 0.1715
I 0.2347 0.1060 0.8160
I 0.3333 0.6667 0.3098
I 0.4568 0.5382 0.8643
I 0.4618 0.9186 0.8643
I 0.4933 0.0553 0.3370
I 0.5620 0.5067 0.3370
I 0.6667 0.3333 0.6247
I 0.7637 0.9013 0.1715
I 0.8713 0.7653 0.8160
I 0.8940 0.1287 0.8160
I 0.9447 0.4380 0.3370
```

Computed properties:
Symmetry: P3
Energy relative to the elements, uncorrected (eV per atom): -0.465

Entry 4:
DFT (PBE) results for Tl3Re after structural relaxation. Values from VASP.

Structure (Quantum ESPRESSO input):
```
&SYSTEM
  ibrav = 0, nat = 4, ntyp = 2
/
ATOMIC_SPECIES
Tl 204.38 Tl.upf
Re 186.21 Re.upf
CELL_PARAMETERS angstrom
-2.2224 2.2224 4.6675
2.2224 -2.2224 4.6675
2.2224 2.2224 -4.6675
ATOMIC_POSITIONS crystal
Tl 0.0000 0.0000 0.0000
Tl 0.2500 0.7500 0.5000
Tl 0.7500 0.2500 0.5000
Re 0.5000 0.5000 0.0000
```

Computed properties:
Symmetry: I4/mmm

Entry 5:
DFT (PBE) results for LaRe2Hg after structural relaxation. Values from VASP.

Structure (Quantum ESPRESSO input):
```
&SYSTEM
  ibrav = 0, nat = 4, ntyp = 3
/
ATOMIC_SPECIES
La 138.91 La.upf
Re 186.21 Re.upf
Hg 200.59 Hg.upf
CELL_PARAMETERS angstrom
2.1643 1.2496 5.8315
-2.1643 1.2496 5.8315
0.0000 -2.4991 5.8315
ATOMIC_POSITIONS crystal
La 0.0000 0.0000 0.0000
Re 0.4695 0.4695 0.4695
Re 0.7862 0.7862 0.7862
Hg 0.2138 0.2138 0.2138
```

Computed properties:
Symmetry: R3m

Entry 6:
DFT (PBE) results for Sm3Er2Ga4 after structural relaxation. Values from VASP.

Structure (Quantum ESPRESSO input):
```
&SYSTEM
  ibrav = 0, nat = 9, ntyp = 3
/
ATOMIC_SPECIES
Sm 150.36 Sm.upf
Er 167.26 Er.upf
Ga 69.72 Ga.upf
CELL_PARAMETERS angstrom
5.4905 -2.2243 0.0000
5.4905 2.2243 0.0000
-0.1757 0.0000 9.5745
ATOMIC_POSITIONS crystal
Sm 0.0000 0.0000 0.0000
Sm 0.3797 0.3797 0.6155
Sm 0.6203 0.6203 0.3845
Er 0.3189 0.3189 0.2316
Er 0.6811 0.6811 0.7684
Ga 0.0811 0.0811 0.6063
Ga 0.3041 0.3041 0.9274
Ga 0.6959 0.6959 0.0726
Ga 0.9189 0.9189 0.3937
```

Computed properties:
Symmetry: C2/m

no.,mass density (g/cm3),total DFT energy (no corrections) (eV per formula unit)
1,7.98,-27.35
2,3.23,-45.40
3,5.40,-68.07
4,14.39,-15.32
5,12.49,-29.24
6,7.56,-39.60